Entry 1:
First-principles (PBE) data for a relaxed structure of CsCdAg2, as listed in Alexandria via LeMat-Bulk.

Total magnetization ... 0.00 μB per formula unit
Energy above the most stable polymorph in this dataset ... 0 meV/atom
Space group ... R-3m (166)

```
data_CsCdAg2
_symmetry_space_group_name_H-M 'P 1'
_symmetry_Int_Tables_number 1
_cell_length_a 4.950
_cell_length_b 4.950
_cell_length_c 7.124
_cell_angle_alpha 69.67
_cell_angle_beta 69.67
_cell_angle_gamma 60.00
loop_
_symmetry_equiv_pos_as_xyz
'x,y,z'
loop_
_atom_site_label
_atom_site_type_symbol
_atom_site_fract_x
_atom_site_fract_y
_atom_site_fract_z
Ag1 Ag 0.321 0.321 0.038
Ag2 Ag 0.679 0.679 0.962
Cd1 Cd 0.000 0.000 0.000
Cs1 Cs 0.500 0.500 0.500
```


Entry 2:
First-principles (PBE) data for a relaxed structure of Cs2Cd5Ag4, as listed in Alexandria via LeMat-Bulk.

Total magnetization ... 0.00 μB per formula unit
Space group ... C2/m (12)

```
data_Cs2Cd5Ag4
_symmetry_space_group_name_H-M 'P 1'
_symmetry_Int_Tables_number 1
_cell_length_a 6.374
_cell_length_b 8.100
_cell_length_c 8.064
_cell_angle_alpha 70.90
_cell_angle_beta 66.72
_cell_angle_gamma 66.83
loop_
_symmetry_equiv_pos_as_xyz
'x,y,z'
loop_
_atom_site_label
_atom_site_type_symbol
_atom_site_fract_x
_atom_site_fract_y
_atom_site_fract_z
Cd1 Cd 0.692 0.263 0.845
Cd2 Cd 0.000 0.500 0.500
Cd3 Cd 0.308 0.737 0.155
Cd4 Cd 0.201 0.263 0.845
Cd5 Cd 0.799 0.737 0.155
Ag1 Ag 0.614 0.941 0.832
Ag2 Ag 0.386 0.059 0.168
Ag3 Ag 0.776 0.562 0.887
Ag4 Ag 0.224 0.438 0.113
Cs1 Cs 0.273 0.806 0.647
Cs2 Cs 0.727 0.194 0.353
```


Entry 3:
First-principles (PBE) data for a relaxed structure of CsCd2Ag, as listed in Alexandria via LeMat-Bulk.

Total magnetization ... 0.00 μB per formula unit
Energy above the most stable polymorph in this dataset ... 132 meV/atom
Space group ... P4/mmm (123)

```
data_CsCd2Ag
_symmetry_space_group_name_H-M 'P 1'
_symmetry_Int_Tables_number 1
_cell_length_a 3.738
_cell_length_b 3.738
_cell_length_c 8.744
_cell_angle_alpha 90.00
_cell_angle_beta 90.00
_cell_angle_gamma 90.00
loop_
_symmetry_equiv_pos_as_xyz
'x,y,z'
loop_
_atom_site_label
_atom_site_type_symbol
_atom_site_fract_x
_atom_site_fract_y
_atom_site_fract_z
Ag1 Ag 0.500 0.500 0.000
Cd1 Cd 0.000 0.000 0.172
Cd2 Cd 0.000 0.000 0.828
Cs1 Cs 0.500 0.500 0.500
```


Entry 4:
First-principles (PBE) data for a relaxed structure of CsCd11Ag, as listed in Alexandria via LeMat-Bulk.

Total magnetization ... 0.00 μB per formula unit
Space group ... C2/m (12)

```
data_CsCd11Ag
_symmetry_space_group_name_H-M 'P 1'
_symmetry_Int_Tables_number 1
_cell_length_a 5.957
_cell_length_b 8.001
_cell_length_c 7.980
_cell_angle_alpha 81.68
_cell_angle_beta 68.08
_cell_angle_gamma 67.20
loop_
_symmetry_equiv_pos_as_xyz
'x,y,z'
loop_
_atom_site_label
_atom_site_type_symbol
_atom_site_fract_x
_atom_site_fract_y
_atom_site_fract_z
Cd1 Cd 0.000 0.500 0.000
Cd2 Cd 0.982 0.359 0.648
Cd3 Cd 0.018 0.641 0.352
Cd4 Cd 0.000 0.000 0.500
Cd5 Cd 0.370 0.641 0.648
Cd6 Cd 0.723 0.772 0.777
Cd7 Cd 0.277 0.228 0.223
Cd8 Cd 0.500 0.000 0.500
Cd9 Cd 0.500 0.228 0.777
Cd10 Cd 0.630 0.359 0.352
Cd11 Cd 0.500 0.772 0.223
Cs1 Cs 0.000 0.000 0.000
Ag1 Ag 0.500 0.500 0.000
```


Entry 5:
First-principles (PBE) data for a relaxed structure of CsCd9Ag2, as listed in Alexandria via LeMat-Bulk.

Total magnetization ... 0.00 μB per formula unit
Energy above the most stable polymorph in this dataset ... 0 meV/atom
Space group ... I4_1/amd (141)

```
data_CsCd9Ag2
_symmetry_space_group_name_H-M 'P 1'
_symmetry_Int_Tables_number 1
_cell_length_a 7.900
_cell_length_b 9.502
_cell_length_c 9.502
_cell_angle_alpha 80.05
_cell_angle_beta 65.44
_cell_angle_gamma 65.44
loop_
_symmetry_equiv_pos_as_xyz
'x,y,z'
loop_
_atom_site_label
_atom_site_type_symbol
_atom_site_fract_x
_atom_site_fract_y
_atom_site_fract_z
Cd1 Cd 0.606 0.083 0.327
Cd2 Cd 0.439 0.827 0.417
Cd3 Cd 0.000 0.000 0.000
Cd4 Cd 0.735 0.583 0.827
Cd5 Cd 0.144 0.173 0.417
Cd6 Cd 0.606 0.327 0.083
Cd7 Cd 0.682 0.583 0.173
Cd8 Cd 0.735 0.827 0.583
Cd9 Cd 0.682 0.173 0.583
Cd10 Cd 0.750 0.500 0.500
Cd11 Cd 0.015 0.917 0.673
Cd12 Cd 0.311 0.083 0.673
Cd13 Cd 0.015 0.673 0.917
Cd14 Cd 0.439 0.417 0.827
Cd15 Cd 0.144 0.417 0.173
Cd16 Cd 0.068 0.917 0.327
Cd17 Cd 0.068 0.327 0.917
Cd18 Cd 0.311 0.673 0.083
Cs1 Cs 0.250 0.500 0.500
Cs2 Cs 0.500 0.000 0.000
Ag1 Ag 0.875 0.250 0.250
Ag2 Ag 0.375 0.750 0.750
Ag3 Ag 0.875 0.250 0.750
Ag4 Ag 0.875 0.750 0.250
```


Entry 6:
First-principles (PBE) data for a relaxed structure of Cs2CdAg, as listed in Alexandria via LeMat-Bulk.

Total magnetization ... 0.00 μB per formula unit
Energy above the most stable polymorph in this dataset ... 197 meV/atom
Space group ... I-42d (122)

```
data_Cs2CdAg
_symmetry_space_group_name_H-M 'P 1'
_symmetry_Int_Tables_number 1
_cell_length_a 10.295
_cell_length_b 10.295
_cell_length_c 8.357
_cell_angle_alpha 51.98
_cell_angle_beta 51.98
_cell_angle_gamma 90.00
loop_
_symmetry_equiv_pos_as_xyz
'x,y,z'
loop_
_atom_site_label
_atom_site_type_symbol
_atom_site_fract_x
_atom_site_fract_y
_atom_site_fract_z
Cs1 Cs 0.149 0.625 0.250
Cs2 Cs 0.375 0.399 0.750
Cs3 Cs 0.875 0.851 0.750
Cs4 Cs 0.601 0.125 0.250
Cd1 Cd 0.750 0.250 0.500
Cd2 Cd 0.000 0.000 0.000
Ag1 Ag 0.250 0.750 0.500
Ag2 Ag 0.500 0.500 0.000
```


Entry 7:
First-principles (PBE) data for a relaxed structure of Cs6Cd3Ag, as listed in Alexandria via LeMat-Bulk.

Total magnetization ... 0.00 μB per formula unit
Space group ... P2_1/c (14)

```
data_Cs6Cd3Ag
_symmetry_space_group_name_H-M 'P 1'
_symmetry_Int_Tables_number 1
_cell_length_a 8.298
_cell_length_b 10.934
_cell_length_c 13.579
_cell_angle_alpha 100.86
_cell_angle_beta 90.00
_cell_angle_gamma 90.00
loop_
_symmetry_equiv_pos_as_xyz
'x,y,z'
loop_
_atom_site_label
_atom_site_type_symbol
_atom_site_fract_x
_atom_site_fract_y
_atom_site_fract_z
Cs1 Cs 0.557 0.853 0.609
Cs2 Cs 0.406 0.185 0.066
Cs3 Cs 0.661 0.683 0.286
Cs4 Cs 0.839 0.183 0.786
Cs5 Cs 0.339 0.317 0.714
Cs6 Cs 0.443 0.147 0.391
Cs7 Cs 0.161 0.817 0.214
Cs8 Cs 0.943 0.353 0.109
Cs9 Cs 0.057 0.647 0.891
Cs10 Cs 0.594 0.815 0.934
Cs11 Cs 0.094 0.685 0.566
Cs12 Cs 0.906 0.315 0.434
Cd1 Cd 0.500 0.500 0.000
Cd2 Cd 0.708 0.529 0.674
Cd3 Cd 0.000 0.000 0.500
Cd4 Cd 0.208 0.971 0.826
Cd5 Cd 0.292 0.471 0.326
Cd6 Cd 0.792 0.029 0.174
Ag1 Ag 0.500 0.500 0.500
Ag2 Ag 0.000 0.000 0.000
```


Entry 8:
First-principles (PBE) data for a relaxed structure of Cs4Cd3Ag2, as listed in Alexandria via LeMat-Bulk.

Total magnetization ... 0.00 μB per formula unit
Space group ... C2/m (12)

```
data_Cs4Cd3Ag2
_symmetry_space_group_name_H-M 'P 1'
_symmetry_Int_Tables_number 1
_cell_length_a 4.977
_cell_length_b 9.068
_cell_length_c 9.853
_cell_angle_alpha 106.26
_cell_angle_beta 104.63
_cell_angle_gamma 90.00
loop_
_symmetry_equiv_pos_as_xyz
'x,y,z'
loop_
_atom_site_label
_atom_site_type_symbol
_atom_site_fract_x
_atom_site_fract_y
_atom_site_fract_z
Cs1 Cs 0.234 0.687 0.468
Cs2 Cs 0.579 0.889 0.158
Cs3 Cs 0.766 0.313 0.532
Cs4 Cs 0.421 0.111 0.842
Ag1 Ag 0.425 0.550 0.851
Ag2 Ag 0.575 0.450 0.149
Cd1 Cd 0.907 0.718 0.814
Cd2 Cd 0.000 0.500 0.000
Cd3 Cd 0.093 0.282 0.186
```


Entry 9:
First-principles (PBE) data for a relaxed structure of Cs12Cd5Ag2, as listed in Alexandria via LeMat-Bulk.

Total magnetization ... 0.00 μB per formula unit
Space group ... C2/m (12)

```
data_Cs12Cd5Ag2
_symmetry_space_group_name_H-M 'P 1'
_symmetry_Int_Tables_number 1
_cell_length_a 10.568
_cell_length_b 10.568
_cell_length_c 11.047
_cell_angle_alpha 79.85
_cell_angle_beta 79.85
_cell_angle_gamma 79.18
loop_
_symmetry_equiv_pos_as_xyz
'x,y,z'
loop_
_atom_site_label
_atom_site_type_symbol
_atom_site_fract_x
_atom_site_fract_y
_atom_site_fract_z
Cs1 Cs 0.089 0.089 0.818
Cs2 Cs 0.385 0.385 0.775
Cs3 Cs 0.990 0.658 0.829
Cs4 Cs 0.615 0.615 0.225
Cs5 Cs 0.342 0.010 0.171
Cs6 Cs 0.410 0.819 0.622
Cs7 Cs 0.590 0.181 0.378
Cs8 Cs 0.010 0.342 0.171
Cs9 Cs 0.911 0.911 0.182
Cs10 Cs 0.658 0.990 0.829
Cs11 Cs 0.819 0.410 0.622
Cs12 Cs 0.181 0.590 0.378
Cd1 Cd 0.000 0.000 0.500
Cd2 Cd 0.592 0.592 0.896
Cd3 Cd 0.408 0.408 0.104
Cd4 Cd 0.190 0.190 0.471
Cd5 Cd 0.810 0.810 0.529
Ag1 Ag 0.315 0.685 0.000
Ag2 Ag 0.685 0.315 0.000
```


Entry 10:
First-principles (PBE) data for a relaxed structure of CsCdAg2, as listed in Alexandria via LeMat-Bulk.

Total magnetization ... 0.00 μB per formula unit
Energy above the most stable polymorph in this dataset ... 10 meV/atom
Space group ... Cm (8)

```
data_CsCdAg2
_symmetry_space_group_name_H-M 'P 1'
_symmetry_Int_Tables_number 1
_cell_length_a 4.937
_cell_length_b 4.937
_cell_length_c 7.131
_cell_angle_alpha 69.97
_cell_angle_beta 69.97
_cell_angle_gamma 59.99
loop_
_symmetry_equiv_pos_as_xyz
'x,y,z'
loop_
_atom_site_label
_atom_site_type_symbol
_atom_site_fract_x
_atom_site_fract_y
_atom_site_fract_z
Ag1 Ag 0.319 0.319 0.044
Ag2 Ag 0.998 0.998 0.007
Cs1 Cs 0.498 0.498 0.500
Cd1 Cd 0.684 0.684 0.950
```


Entry 11:
First-principles (PBE) data for a relaxed structure of Cs5CdAg4, as listed in Alexandria via LeMat-Bulk.

Total magnetization ... 0.00 μB per formula unit
Space group ... C2/m (12)

```
data_Cs5CdAg4
_symmetry_space_group_name_H-M 'P 1'
_symmetry_Int_Tables_number 1
_cell_length_a 4.903
_cell_length_b 9.240
_cell_length_c 12.292
_cell_angle_alpha 108.69
_cell_angle_beta 101.50
_cell_angle_gamma 90.00
loop_
_symmetry_equiv_pos_as_xyz
'x,y,z'
loop_
_atom_site_label
_atom_site_type_symbol
_atom_site_fract_x
_atom_site_fract_y
_atom_site_fract_z
Cs1 Cs 0.134 0.251 0.268
Cs2 Cs 0.193 0.786 0.386
Cs3 Cs 0.807 0.214 0.614
Cs4 Cs 0.866 0.749 0.732
Cs5 Cs 0.500 0.500 0.000
Cd1 Cd 0.500 0.000 0.000
Ag1 Ag 0.964 0.125 0.928
Ag2 Ag 0.395 0.081 0.790
Ag3 Ag 0.036 0.875 0.072
Ag4 Ag 0.605 0.919 0.210
```


Entry 12:
First-principles (PBE) data for a relaxed structure of Cs2Cd2Ag, as listed in Alexandria via LeMat-Bulk.

Total magnetization ... 0.00 μB per formula unit
Energy above the most stable polymorph in this dataset ... 103 meV/atom
Space group ... I4/mmm (139)

```
data_Cs2Cd2Ag
_symmetry_space_group_name_H-M 'P 1'
_symmetry_Int_Tables_number 1
_cell_length_a 7.462
_cell_length_b 7.462
_cell_length_c 6.758
_cell_angle_alpha 56.49
_cell_angle_beta 56.49
_cell_angle_gamma 90.00
loop_
_symmetry_equiv_pos_as_xyz
'x,y,z'
loop_
_atom_site_label
_atom_site_type_symbol
_atom_site_fract_x
_atom_site_fract_y
_atom_site_fract_z
Cs1 Cs 0.250 0.750 0.500
Cs2 Cs 0.750 0.250 0.500
Ag1 Ag 0.000 0.000 0.000
Cd1 Cd 0.330 0.330 0.341
Cd2 Cd 0.670 0.670 0.659
```


Across the entries above, ΔH_f (0 K) takes the values -48, 20, 64, -7, -62, 160, 35, -19, 29, -38, 31, 74 meV per atom, respectively.